First-principles (PBE) data for a relaxed structure of Pm4ReN5, as listed in Alexandria via LeMat-Bulk.

Properties
* VASP energy: -8.282 eV per atom
* crystal system: tetragonal
* E_form (uncorrected): -0.97 eV/atom
* magnetization: 0.00 μB/cell

Lattice parameters (Å, degrees): 5.1469 6.0111 6.0111 79.44 64.65 64.65
With the nearest neighbours (Å) after each atom.
Sites, in units of the cell vectors:
Pm 0.3970 0.4061 0.8008  6 N 2.41-2.65
Pm 0.8031 0.8008 0.5939  6 N 2.41-2.65
Pm 0.1978 0.1992 0.4061  6 N 2.41-2.65
Pm 0.6039 0.5939 0.1992  6 N 2.41-2.65
Re 0.0552 0.0000 0.0000  1 N 1.88
N 0.9150 0.3681 0.8180  1 Re 2.24, 2 Pm 2.41-2.42
N 0.2831 0.8180 0.6319  1 Re 2.24, 2 Pm 2.41-2.42
N 0.7330 0.1820 0.3681  1 Re 2.24, 2 Pm 2.41-2.42
N 0.1010 0.6319 0.1820  1 Re 2.24, 2 Pm 2.41-2.42
N 0.4211 0.0000 0.0000  1 Re 1.88